An optimized crystal structure of Ac5IrAu2. Source: Alexandria, functional PBE.

Cell lengths 7.4691, 8.1530, 10.1262 Å; angles 96.80, 111.64, 90.00 degrees
Last column: nearest neighbours and their distance in Å.
Sites, in units of the cell vectors:
Ac 0.2954 0.0747 0.8021  1 Ir 3.03, 2 Au 3.22-3.24
Ac 0.7138 0.1954 0.5787  2 Ir 2.95-2.98
Ac 0.2862 0.8046 0.4213  2 Ir 2.95-2.98
Ac 0.9263 0.2500 0.0000  4 Au 3.18-3.26
Ac 0.4933 0.4253 0.1979  1 Ir 3.03, 2 Au 3.22-3.24
Ac 0.1350 0.3046 0.4213  2 Ir 2.95-2.98
Ac 0.0737 0.7500 0.0000  4 Au 3.18-3.26
Ac 0.5067 0.5747 0.8021  1 Ir 3.03, 2 Au 3.22-3.24
Ac 0.8650 0.6954 0.5787  2 Ir 2.95-2.98
Ac 0.7046 0.9253 0.1979  1 Ir 3.03, 2 Au 3.22-3.24
Au 0.8979 0.5719 0.2002  6 Ac 3.18-3.35
Au 0.6977 0.9281 0.7998  6 Ac 3.18-3.35
Au 0.1021 0.4281 0.7998  6 Ac 3.18-3.35
Au 0.3023 0.0719 0.2002  6 Ac 3.18-3.35
Ir 0.5000 0.5000 0.5000  6 Ac 2.95-3.03
Ir 0.0000 0.0000 0.5000  6 Ac 2.95-3.03

Values from the calculation:
- total magnetic moment (μB/f.u.) = 0.000
- total energy (eV/atom) = -5.108
- space group = C2/c